VASP calculation (PBE) on crystalline Sm7Dy12Pb at its relaxed geometry.

Geometry as CIF:
```
data_Sm7Dy12Pb
_chemical_formula_sum 'Sm7 Dy12 Pb1'
_cell_length_a 8.762
_cell_length_b 8.762
_cell_length_c 8.762
_cell_angle_alpha 89.06
_cell_angle_beta 89.06
_cell_angle_gamma 89.06
_symmetry_space_group_name_H-M 'P 1'
_symmetry_Int_Tables_number 1
loop_
_symmetry_equiv_pos_as_xyz
'x,y,z'
loop_
_atom_site_label
_atom_site_type_symbol
_atom_site_fract_x
_atom_site_fract_y
_atom_site_fract_z
_atom_site_occupancy
Sm1 Sm 0.000 0.000 0.000 1
Sm2 Sm 0.126 0.265 0.716 1
Sm3 Sm 0.265 0.716 0.126 1
Sm4 Sm 0.284 0.874 0.735 1
Sm5 Sm 0.716 0.126 0.265 1
Sm6 Sm 0.735 0.284 0.874 1
Sm7 Sm 0.874 0.735 0.284 1
Dy1 Dy 0.035 0.377 0.158 1
Dy2 Dy 0.158 0.035 0.377 1
Dy3 Dy 0.162 0.614 0.494 1
Dy4 Dy 0.377 0.158 0.035 1
Dy5 Dy 0.386 0.506 0.838 1
Dy6 Dy 0.494 0.162 0.614 1
Dy7 Dy 0.506 0.838 0.386 1
Dy8 Dy 0.614 0.494 0.162 1
Dy9 Dy 0.623 0.842 0.965 1
Dy10 Dy 0.838 0.386 0.506 1
Dy11 Dy 0.842 0.965 0.623 1
Dy12 Dy 0.965 0.623 0.842 1
Pb1 Pb 0.500 0.500 0.500 1
```

Summary:
Space group ... R-3, No. 148
Total energy ... -88.62 eV per cell

***

VASP calculation (PBE) on crystalline Tb5Nd12Sc2 at its relaxed geometry.

Geometry as CIF:
```
data_Tb5Nd12Sc2
_chemical_formula_sum 'Tb5 Nd12 Sc2'
_cell_length_a 11.784
_cell_length_b 11.784
_cell_length_c 8.762
_cell_angle_alpha 110.86
_cell_angle_beta 110.86
_cell_angle_gamma 34.87
_symmetry_space_group_name_H-M 'P 1'
_symmetry_Int_Tables_number 1
loop_
_symmetry_equiv_pos_as_xyz
'x,y,z'
loop_
_atom_site_label
_atom_site_type_symbol
_atom_site_fract_x
_atom_site_fract_y
_atom_site_fract_z
_atom_site_occupancy
Tb1 Tb 0.000 0.000 0.000 1
Tb2 Tb 0.249 0.249 0.990 1
Tb3 Tb 0.354 0.354 0.406 1
Tb4 Tb 0.646 0.646 0.594 1
Tb5 Tb 0.751 0.751 0.010 1
Nd1 Nd 0.048 0.544 0.707 1
Nd2 Nd 0.132 0.132 0.529 1
Nd3 Nd 0.151 0.641 0.122 1
Nd4 Nd 0.359 0.849 0.878 1
Nd5 Nd 0.451 0.451 0.800 1
Nd6 Nd 0.456 0.952 0.293 1
Nd7 Nd 0.544 0.048 0.707 1
Nd8 Nd 0.549 0.549 0.200 1
Nd9 Nd 0.641 0.151 0.122 1
Nd10 Nd 0.849 0.359 0.878 1
Nd11 Nd 0.868 0.868 0.471 1
Nd12 Nd 0.952 0.456 0.293 1
Sc1 Sc 0.266 0.734 0.500 1
Sc2 Sc 0.734 0.266 0.500 1
```

Summary:
Energy above the lowest structure with this stoichiometry ... 0 meV/atom
Space group ... C2/m, No. 12
Total energy ... -90.25 eV per cell

***

no.,energy of formation from the pure elements (eV per formula unit),spin magnetization (Bohr magnetons per cell)
1,3.35,0.0
2,2.78,0.0